a:
Compound: AcNd6Er2
Source: the Alexandria database
Functional: PBE
Structure: optimized geometry Values from VASP.

The structure in Quantum ESPRESSO input format:
```
&SYSTEM
  ibrav = 0, nat = 18, ntyp = 3
/
ATOMIC_SPECIES
Ac 227.00 Ac.upf
Nd 144.24 Nd.upf
Er 167.26 Er.upf
CELL_PARAMETERS angstrom
-2.9076 5.0161 10.7772
2.9076 -5.0161 10.7772
2.9076 5.0161 -10.7772
ATOMIC_POSITIONS angstrom
Ac 0.0000 0.0000 5.3886
Ac 0.0000 0.0000 16.1658
Nd 2.9108 1.6786 -3.4897
Nd 0.0000 0.0000 1.7090
Nd 2.9108 -1.6786 7.2875
Nd 2.9108 1.6786 3.4897
Nd 0.0000 0.0000 9.0682
Nd 0.0032 3.3375 3.4897
Nd 2.9043 1.6786 7.2875
Nd 0.0000 0.0000 12.4862
Nd -0.0032 3.3375 7.2875
Nd -0.0032 6.6947 3.4897
Nd 0.0000 0.0000 19.8454
Nd -0.0032 3.3375 14.2669
Er 2.9011 1.6713 0.0000
Er 2.9011 -1.6713 10.7772
Er 0.0065 6.6874 0.0000
Er 0.0065 3.3448 10.7772
```

b:
Compound: AcNd6Er2
Source: the Alexandria database
Functional: PBE
Structure: optimized geometry Values from VASP.

The structure in Quantum ESPRESSO input format:
```
&SYSTEM
  ibrav = 0, nat = 9, ntyp = 3
/
ATOMIC_SPECIES
Ac 227.00 Ac.upf
Nd 144.24 Nd.upf
Er 167.26 Er.upf
CELL_PARAMETERS angstrom
3.6822 0.0000 0.0000
-1.8411 3.1889 0.0000
0.0000 0.0000 27.3576
ATOMIC_POSITIONS angstrom
Ac 0.0000 0.0000 0.0000
Nd 0.0000 0.0000 6.1900
Nd 0.0000 0.0000 11.8753
Nd 0.0000 0.0000 15.4823
Nd 0.0000 0.0000 21.1676
Nd 0.0000 2.1259 3.2005
Nd 0.0000 2.1259 24.1572
Er 0.0000 2.1259 9.0897
Er 0.0000 2.1259 18.2679
```

Stability verdict: a, ahead by 12 meV/atom

a:
Compound: AcNd4Er2
Source: the Alexandria database
Functional: PBE
Structure: optimized geometry Values from VASP.

The structure in Quantum ESPRESSO input format:
```
&SYSTEM
  ibrav = 0, nat = 7, ntyp = 3
/
ATOMIC_SPECIES
Ac 227.00 Ac.upf
Nd 144.24 Nd.upf
Er 167.26 Er.upf
CELL_PARAMETERS angstrom
2.9027 1.6759 8.4499
-2.9027 1.6759 8.4499
0.0000 -3.3517 8.4499
ATOMIC_POSITIONS angstrom
Ac 0.0000 0.0000 0.0000
Nd 0.0000 0.0000 6.8045
Nd 0.0000 0.0000 10.7251
Nd 0.0000 0.0000 14.6246
Nd 0.0000 0.0000 18.5452
Er 0.0000 0.0000 3.5200
Er 0.0000 0.0000 21.8297
```

b:
Compound: AcNd4Er2
Source: the Alexandria database
Functional: PBE
Structure: optimized geometry Values from VASP.

The structure in Quantum ESPRESSO input format:
```
&SYSTEM
  ibrav = 0, nat = 7, ntyp = 3
/
ATOMIC_SPECIES
Ac 227.00 Ac.upf
Nd 144.24 Nd.upf
Er 167.26 Er.upf
CELL_PARAMETERS angstrom
6.0997 -3.2701 0.0000
6.0997 3.2701 0.0000
-0.9788 0.0000 6.3390
ATOMIC_POSITIONS angstrom
Ac 0.0000 0.0000 0.0000
Nd 3.0498 1.6351 0.0000
Nd 1.4699 0.0000 3.2213
Nd 3.0498 -1.6351 0.0000
Nd 9.7507 0.0000 3.1177
Er 4.8906 0.0000 4.6617
Er 6.3300 0.0000 1.6773
```

Stability verdict: a, ahead by 115 meV/atom

a:
Compound: AcNd2Er6
Source: the Alexandria database
Functional: PBE
Structure: optimized geometry Values from VASP.

The structure in Quantum ESPRESSO input format:
```
&SYSTEM
  ibrav = 0, nat = 9, ntyp = 3
/
ATOMIC_SPECIES
Ac 227.00 Ac.upf
Nd 144.24 Nd.upf
Er 167.26 Er.upf
CELL_PARAMETERS angstrom
6.0029 0.0000 0.0000
2.9766 5.9139 0.0000
2.9596 0.1380 8.5304
ATOMIC_POSITIONS angstrom
Ac 0.0000 0.0000 0.0000
Nd 3.3273 0.9421 2.0998
Nd 8.6118 5.1098 6.4306
Er 3.3993 1.9263 5.4704
Er 5.5045 4.6123 4.6389
Er 6.2011 2.5354 7.3951
Er 5.7381 3.5165 1.1353
Er 6.4346 1.4396 3.8914
Er 8.5399 4.1256 3.0600
```

b:
Compound: AcNd2Er6
Source: the Alexandria database
Functional: PBE
Structure: optimized geometry Values from VASP.

The structure in Quantum ESPRESSO input format:
```
&SYSTEM
  ibrav = 0, nat = 18, ntyp = 3
/
ATOMIC_SPECIES
Ac 227.00 Ac.upf
Nd 144.24 Nd.upf
Er 167.26 Er.upf
CELL_PARAMETERS angstrom
8.0719 0.0000 0.0000
0.0000 8.0719 0.0000
0.0000 0.0000 11.3455
ATOMIC_POSITIONS angstrom
Ac 0.0000 0.0000 0.0000
Ac 4.0359 4.0359 5.6727
Nd 0.0000 0.0000 3.1325
Nd 0.0000 0.0000 8.2130
Nd 4.0359 4.0359 2.5402
Nd 4.0359 4.0359 8.8052
Er 1.3204 1.3204 5.6727
Er 2.0136 6.0583 3.5663
Er 2.0136 6.0583 7.7792
Er 2.0224 2.0224 2.1065
Er 2.0224 2.0224 9.2390
Er 2.7155 5.3563 0.0000
Er 5.3563 2.7155 0.0000
Er 6.0495 6.0495 2.1065
Er 6.0495 6.0495 9.2390
Er 6.0583 2.0136 3.5663
Er 6.0583 2.0136 7.7792
Er 6.7514 6.7514 5.6727
```

Stability verdict: a, ahead by 752 meV/atom

a:
Compound: Ac2Nd4Er
Source: the Alexandria database
Functional: PBE
Structure: optimized geometry Values from VASP.

The structure in Quantum ESPRESSO input format:
```
&SYSTEM
  ibrav = 0, nat = 7, ntyp = 3
/
ATOMIC_SPECIES
Ac 227.00 Ac.upf
Nd 144.24 Nd.upf
Er 167.26 Er.upf
CELL_PARAMETERS angstrom
5.8605 -2.6657 0.0000
5.8605 2.6657 0.0000
-1.2427 0.0000 8.3352
ATOMIC_POSITIONS angstrom
Ac 2.3089 0.0000 1.2112
Ac 8.1694 0.0000 7.1240
Nd -0.0366 0.0000 5.8989
Nd 3.4977 0.0000 4.7844
Nd 6.9807 0.0000 3.5508
Nd 10.5149 0.0000 2.4363
Er 5.8605 0.0000 0.0000
```

b:
Compound: Ac2Nd4Er
Source: the Alexandria database
Functional: PBE
Structure: optimized geometry Values from VASP.

The structure in Quantum ESPRESSO input format:
```
&SYSTEM
  ibrav = 0, nat = 7, ntyp = 3
/
ATOMIC_SPECIES
Ac 227.00 Ac.upf
Nd 144.24 Nd.upf
Er 167.26 Er.upf
CELL_PARAMETERS angstrom
-2.8631 2.8631 9.1723
2.8631 -2.8631 9.1723
2.8631 2.8631 -9.1723
ATOMIC_POSITIONS angstrom
Ac 0.0000 0.0000 2.3392
Ac 0.0000 0.0000 16.0053
Nd 2.8631 0.0000 0.0000
Nd 0.0000 0.0000 5.9673
Nd 0.0000 2.8631 0.0000
Nd 0.0000 0.0000 12.3773
Er 0.0000 0.0000 9.1723
```

Stability verdict: a, ahead by 527 meV/atom

a:
Compound: AcNd3Er3
Source: the Alexandria database
Functional: PBE
Structure: optimized geometry Values from VASP.

The structure in Quantum ESPRESSO input format:
```
&SYSTEM
  ibrav = 0, nat = 14, ntyp = 3
/
ATOMIC_SPECIES
Ac 227.00 Ac.upf
Nd 144.24 Nd.upf
Er 167.26 Er.upf
CELL_PARAMETERS angstrom
9.7733 0.0000 0.0000
-4.8866 8.4639 0.0000
0.0000 0.0000 5.8677
ATOMIC_POSITIONS angstrom
Ac 0.0000 5.6426 1.4669
Ac 4.8866 2.8213 4.4008
Nd -2.1322 5.2872 4.4008
Nd 1.3739 3.9738 4.4008
Nd 4.1283 0.7971 1.4669
Nd 0.7583 7.6668 4.4008
Nd 3.5127 4.4901 1.4669
Nd 7.0188 3.1767 1.4669
Er -3.5657 6.8941 1.4669
Er 0.6990 1.9288 1.4669
Er 2.0199 0.3591 4.4008
Er 2.8667 8.1048 1.4669
Er 4.1876 6.5350 4.4008
Er 8.4523 1.5698 4.4008
```

b:
Compound: AcNd3Er3
Source: the Alexandria database
Functional: PBE
Structure: optimized geometry Values from VASP.

The structure in Quantum ESPRESSO input format:
```
&SYSTEM
  ibrav = 0, nat = 28, ntyp = 3
/
ATOMIC_SPECIES
Ac 227.00 Ac.upf
Nd 144.24 Nd.upf
Er 167.26 Er.upf
CELL_PARAMETERS angstrom
10.0813 0.0000 0.0000
-0.1015 10.0828 0.0000
-0.0965 -0.0957 10.0876
ATOMIC_POSITIONS angstrom
Ac 0.0000 0.0000 0.0000
Ac -0.0885 7.4905 2.5899
Ac 2.4039 7.4030 10.0832
Ac 8.5516 6.0347 8.6981
Nd 0.1166 0.0148 5.3057
Nd 0.1170 2.6876 2.6477
Nd 2.6140 2.7175 0.1716
Nd 2.5155 7.6214 5.3073
Nd 2.5654 4.9625 7.6189
Nd 5.2915 0.0628 0.1721
Nd 5.1944 2.6430 7.7615
Nd 5.1933 5.1269 5.2974
Nd 5.1868 7.6486 2.6475
Nd 7.5413 0.0359 7.6214
Nd 7.5454 5.0182 2.6851
Nd 7.6771 2.6664 5.2973
Er 0.0593 2.5562 7.6996
Er 0.0589 5.0653 5.2099
Er 2.6112 2.5603 5.1922
Er 2.7612 0.1860 7.7373
Er 2.7569 5.1253 2.8405
Er 5.1387 0.0581 5.1936
Er 5.1408 2.5888 2.6870
Er 5.1544 5.1146 0.1599
Er 5.0574 7.5895 7.7000
Er 7.6661 2.6267 0.1602
Er 7.5660 7.6142 5.2097
Er 7.7004 0.2299 2.8397
```

Stability verdict: a, ahead by 167 meV/atom

a:
Compound: AcNd12Er7
Source: the Alexandria database
Functional: PBE
Structure: optimized geometry Values from VASP.

The structure in Quantum ESPRESSO input format:
```
&SYSTEM
  ibrav = 0, nat = 20, ntyp = 3
/
ATOMIC_SPECIES
Ac 227.00 Ac.upf
Nd 144.24 Nd.upf
Er 167.26 Er.upf
CELL_PARAMETERS angstrom
-5.8018 5.8018 5.8018
5.8018 -5.8018 5.8018
5.8018 5.8018 -5.8018
ATOMIC_POSITIONS angstrom
Ac 0.0000 0.0000 0.0000
Nd 5.8018 3.0200 -2.4698
Nd 3.3319 0.0000 2.7817
Nd 8.2716 0.0000 2.7817
Nd 2.7817 3.3319 0.0000
Nd 3.0200 -2.4698 5.8018
Nd 5.8018 3.0200 2.4698
Nd 0.0000 2.7817 3.3319
Nd 2.7817 8.2716 0.0000
Nd 3.0200 2.4698 5.8018
Nd -2.4698 5.8018 3.0200
Nd 2.4698 5.8018 3.0200
Nd 0.0000 2.7817 8.2716
Er 2.9009 2.9009 -2.9009
Er 2.9009 -2.9009 2.9009
Er 5.8018 0.0000 0.0000
Er -2.9009 2.9009 2.9009
Er 0.0000 5.8018 0.0000
Er 0.0000 0.0000 5.8018
Er 2.9009 2.9009 2.9009
```

b:
Compound: AcNd12Er7
Source: the Alexandria database
Functional: PBE
Structure: optimized geometry Values from VASP.

The structure in Quantum ESPRESSO input format:
```
&SYSTEM
  ibrav = 0, nat = 20, ntyp = 3
/
ATOMIC_SPECIES
Ac 227.00 Ac.upf
Nd 144.24 Nd.upf
Er 167.26 Er.upf
CELL_PARAMETERS angstrom
6.1865 3.5718 5.2064
-6.1865 3.5718 5.2064
0.0000 -7.1436 5.2064
ATOMIC_POSITIONS angstrom
Ac 0.0000 0.0000 0.0000
Nd -3.6129 1.0975 5.8991
Nd -2.1918 -2.1998 6.5890
Nd 0.8559 -3.6776 5.8991
Nd -2.7569 -2.5801 9.7201
Nd -3.0010 0.7983 9.0302
Nd -0.8091 2.9981 6.5890
Nd 0.8091 -2.9981 9.0302
Nd 3.0010 -0.7983 6.5890
Nd 2.7569 2.5800 5.8991
Nd -0.8559 3.6776 9.7201
Nd 2.1918 2.1998 9.0302
Nd 3.6128 -1.0975 9.7201
Er -0.5757 -1.9989 3.1251
Er -1.4432 1.4980 3.1251
Er 2.0189 0.5009 3.1251
Er 0.0000 0.0000 7.8096
Er -2.0189 -0.5009 12.4941
Er 1.4432 -1.4980 12.4941
Er 0.5757 1.9989 12.4941
```

Stability verdict: b, ahead by 427 meV/atom

a:
Compound: AcNdEr4
Source: the Alexandria database
Functional: PBE
Structure: optimized geometry Values from VASP.

The structure in Quantum ESPRESSO input format:
```
&SYSTEM
  ibrav = 0, nat = 12, ntyp = 3
/
ATOMIC_SPECIES
Ac 227.00 Ac.upf
Nd 144.24 Nd.upf
Er 167.26 Er.upf
CELL_PARAMETERS angstrom
5.3527 -6.6695 0.0000
5.3527 6.6695 0.0000
-3.6250 0.0000 5.6427
ATOMIC_POSITIONS angstrom
Ac 2.6340 5.7081 4.2321
Ac 4.4465 -5.7081 1.4107
Nd 4.4465 4.1227 1.4107
Nd 2.6340 -4.1227 4.2321
Er 0.8696 2.4513 4.2521
Er 2.7277 1.0151 1.4593
Er 0.9152 -1.0151 4.2807
Er 4.3984 2.4513 4.2120
Er 2.6821 -2.4513 1.4307
Er 6.1653 1.0151 1.3621
Er 4.3528 -1.0151 4.1834
Er 6.2109 -2.4513 1.3906
```

b:
Compound: AcNdEr4
Source: the Alexandria database
Functional: PBE
Structure: optimized geometry Values from VASP.

The structure in Quantum ESPRESSO input format:
```
&SYSTEM
  ibrav = 0, nat = 6, ntyp = 3
/
ATOMIC_SPECIES
Ac 227.00 Ac.upf
Nd 144.24 Nd.upf
Er 167.26 Er.upf
CELL_PARAMETERS angstrom
0.0000 4.7574 4.7574
4.7574 0.0000 4.7574
4.7574 4.7574 0.0000
ATOMIC_POSITIONS angstrom
Ac 0.0000 0.0000 0.0000
Nd 7.1362 7.1362 7.1362
Er 3.5745 3.5745 3.5745
Er 5.9403 5.9403 3.5745
Er 5.9403 3.5745 5.9403
Er 3.5745 5.9403 5.9403
```

Stability verdict: a, ahead by 207 meV/atom

a:
Compound: AcNdSmEr
Source: the Alexandria database
Functional: PBE
Structure: optimized geometry Values from VASP.

The structure in Quantum ESPRESSO input format:
```
&SYSTEM
  ibrav = 0, nat = 4, ntyp = 4
/
ATOMIC_SPECIES
Ac 227.00 Ac.upf
Nd 144.24 Nd.upf
Sm 150.36 Sm.upf
Er 167.26 Er.upf
CELL_PARAMETERS angstrom
3.7319 0.0000 0.0000
-1.8659 3.2319 0.0000
0.0000 0.0000 11.9291
ATOMIC_POSITIONS angstrom
Ac 0.0000 0.0000 0.0000
Nd 1.8659 1.0773 8.7741
Sm 0.0000 2.1546 5.8491
Er 1.8659 1.0773 3.0374
```

b:
Compound: AcNdSmEr
Source: the Alexandria database
Functional: PBE
Structure: optimized geometry Values from VASP.

The structure in Quantum ESPRESSO input format:
```
&SYSTEM
  ibrav = 0, nat = 4, ntyp = 4
/
ATOMIC_SPECIES
Ac 227.00 Ac.upf
Nd 144.24 Nd.upf
Sm 150.36 Sm.upf
Er 167.26 Er.upf
CELL_PARAMETERS angstrom
0.0000 4.1697 4.1697
4.1697 0.0000 4.1697
4.1697 4.1697 0.0000
ATOMIC_POSITIONS angstrom
Ac 0.0000 0.0000 0.0000
Nd 6.2545 6.2545 6.2545
Sm 2.0848 2.0848 2.0848
Er 4.1697 4.1697 4.1697
```

Stability verdict: a, ahead by 118 meV/atom

a:
Compound: AcNdErTm
Source: the Alexandria database
Functional: PBE
Structure: optimized geometry Values from VASP.

The structure in Quantum ESPRESSO input format:
```
&SYSTEM
  ibrav = 0, nat = 4, ntyp = 4
/
ATOMIC_SPECIES
Ac 227.00 Ac.upf
Nd 144.24 Nd.upf
Er 167.26 Er.upf
Tm 168.93 Tm.upf
CELL_PARAMETERS angstrom
0.0000 4.1296 4.1296
4.1296 0.0000 4.1296
4.1296 4.1296 0.0000
ATOMIC_POSITIONS angstrom
Ac 0.0000 0.0000 0.0000
Nd 4.1296 4.1296 4.1296
Er 2.0648 2.0648 2.0648
Tm 6.1944 6.1944 6.1944
```

b:
Compound: AcNdErTm
Source: the Alexandria database
Functional: PBE
Structure: optimized geometry Values from VASP.

The structure in Quantum ESPRESSO input format:
```
&SYSTEM
  ibrav = 0, nat = 4, ntyp = 4
/
ATOMIC_SPECIES
Ac 227.00 Ac.upf
Nd 144.24 Nd.upf
Er 167.26 Er.upf
Tm 168.93 Tm.upf
CELL_PARAMETERS angstrom
3.6790 0.0000 0.0000
-1.8387 3.1883 0.0000
-0.0034 -2.1147 11.9173
ATOMIC_POSITIONS angstrom
Ac 0.0000 0.0000 0.0000
Nd 0.0035 0.0031 8.6756
Er 1.8426 1.0683 5.8086
Tm 0.0013 2.1209 3.0368
```

Stability verdict: b, ahead by 31 meV/atom

a:
Compound: AcErNi
Source: the Alexandria database
Functional: PBE
Structure: optimized geometry Values from VASP.

The structure in Quantum ESPRESSO input format:
```
&SYSTEM
  ibrav = 0, nat = 3, ntyp = 3
/
ATOMIC_SPECIES
Ac 227.00 Ac.upf
Er 167.26 Er.upf
Ni 58.69 Ni.upf
CELL_PARAMETERS angstrom
-1.7854 1.7854 6.4113
1.7854 -1.7854 6.4113
1.7854 1.7854 -6.4113
ATOMIC_POSITIONS angstrom
Ac 0.0000 0.0000 0.0000
Er 0.0000 0.0000 3.3618
Ni 0.0000 0.0000 8.4270
```

b:
Compound: AcErNi
Source: the Alexandria database
Functional: PBE
Structure: optimized geometry Values from VASP.

The structure in Quantum ESPRESSO input format:
```
&SYSTEM
  ibrav = 0, nat = 6, ntyp = 3
/
ATOMIC_SPECIES
Ac 227.00 Ac.upf
Er 167.26 Er.upf
Ni 58.69 Ni.upf
CELL_PARAMETERS angstrom
3.8108 0.0000 0.0000
-0.0023 6.6336 0.0000
-1.8865 -3.2624 7.5762
ATOMIC_POSITIONS angstrom
Ac -0.0019 0.0005 1.9912
Ac 1.9239 3.3707 5.5850
Er 0.0200 0.0555 5.9146
Er 1.9019 3.3157 1.6616
Ni 1.9229 -1.1426 7.5735
Ni -0.0010 4.5137 0.0027
```

Stability verdict: b, ahead by 44 meV/atom

a:
Compound: AcErNi
Source: the Alexandria database
Functional: PBE
Structure: optimized geometry Values from VASP.

The structure in Quantum ESPRESSO input format:
```
&SYSTEM
  ibrav = 0, nat = 12, ntyp = 3
/
ATOMIC_SPECIES
Ac 227.00 Ac.upf
Er 167.26 Er.upf
Ni 58.69 Ni.upf
CELL_PARAMETERS angstrom
0.0000 6.5251 4.5166
5.7849 0.0000 4.5166
5.7849 6.5251 0.0000
ATOMIC_POSITIONS angstrom
Ac 7.1388 4.5698 4.5166
Ac 7.3233 7.8323 6.7749
Ac 4.4309 8.4803 4.5166
Ac 4.2464 5.2178 6.7749
Er 8.2358 8.1307 3.1196
Er 11.1282 8.1819 5.3779
Er 3.3340 4.9194 3.1196
Er 6.2264 11.3933 5.3779
Ni 5.0374 2.8941 2.8622
Ni 9.4247 6.1567 5.1205
Ni 0.7475 3.6309 2.8622
Ni 2.1450 6.8935 5.1205
```

b:
Compound: AcErNi
Source: the Alexandria database
Functional: PBE
Structure: optimized geometry Values from VASP.

The structure in Quantum ESPRESSO input format:
```
&SYSTEM
  ibrav = 0, nat = 3, ntyp = 3
/
ATOMIC_SPECIES
Ac 227.00 Ac.upf
Er 167.26 Er.upf
Ni 58.69 Ni.upf
CELL_PARAMETERS angstrom
4.0858 0.0000 0.0000
-2.0429 3.5384 0.0000
0.0000 0.0000 6.3597
ATOMIC_POSITIONS angstrom
Ac 0.0000 0.0000 0.0000
Er 0.0000 2.3590 3.0723
Ni 2.0429 1.1795 1.7420
```

Stability verdict: a, ahead by 79 meV/atom